Entry from Alexandria: crystalline GaNi3F at its relaxed geometry (GGA+U).

Total magnetization ... 5.1 Bohr magnetons per cell
Energy relative to the lowest polymorph listed for this composition ... 0.969 eV per atom

a b c (Å): 4.6601 4.6601 4.6601
angles (deg): 90.00 90.00 90.00
With the nearest neighbours (Å) after each atom.
Space group Pm-3m (No. 221)
Asymmetric unit:
Ga 0.0000 0.0000 0.0000 (multiplicity 1)  6 Ni 2.33
Ni 0.0000 0.0000 0.5000 (multiplicity 3)  2 Ga 2.33
F 0.5000 0.5000 0.5000 (multiplicity 1)  12 Ni 3.30